DFT (PBE) results for TiHg3I after structural relaxation.

abc: 5.575 5.575 5.575
angles: 90.00 90.00 90.00
Element x y z (fractional)
Ti: 0.000 0.000 0.000
Hg: 0.000 0.000 0.500
Hg: 0.000 0.500 0.000
Hg: 0.500 0.000 0.000
I: 0.500 0.500 0.500

## Properties
Energy relative to the lowest polymorph listed for this composition = 0 kJ/mol of formula units

DFT (PBE) results for Ti3Hg2I8 after structural relaxation.

abc: 11.147 11.147 7.014
angles: 101.53 101.53 42.12
Element x y z (fractional)
Ti: 0.000 0.000 0.000
Ti: 0.235 0.765 0.500
Ti: 0.765 0.235 0.500
Hg: 0.250 0.250 0.872
Hg: 0.750 0.750 0.128
I: 0.087 0.087 0.382
I: 0.164 0.677 0.121
I: 0.323 0.836 0.879
I: 0.421 0.421 0.596
I: 0.579 0.579 0.404
I: 0.677 0.164 0.121
I: 0.836 0.323 0.879
I: 0.913 0.913 0.618

DFT (PBE) results for TiHg2I5 after structural relaxation.

abc: 6.613 7.501 8.517
angles: 71.45 89.99 63.94
Element x y z (fractional)
Ti: 0.000 0.000 0.000
Hg: 0.129 0.999 0.500
Hg: 0.610 0.999 0.500
I: 0.240 0.703 0.864
I: 0.246 0.693 0.299
I: 0.613 0.000 0.000
I: 0.940 0.307 0.701
I: 0.945 0.297 0.136

DFT (PBE) results for Ti2HgI8 after structural relaxation.

abc: 8.846 8.846 9.814
angles: 105.08 105.08 58.99
Element x y z (fractional)
Ti: 0.201 0.201 0.198
Ti: 0.799 0.799 0.802
Hg: 0.000 0.000 0.500
I: 0.103 0.630 0.718
I: 0.161 0.161 0.926
I: 0.370 0.897 0.282
I: 0.374 0.374 0.308
I: 0.626 0.626 0.692
I: 0.630 0.103 0.718
I: 0.839 0.839 0.074
I: 0.897 0.370 0.282

DFT (PBE) results for TiHg2I4 after structural relaxation.

abc: 10.308 10.308 10.204
angles: 119.57 119.57 90.17
Element x y z (fractional)
Ti: 0.123 0.877 0.750
Ti: 0.877 0.123 0.250
Hg: 0.000 0.500 0.000
Hg: 0.500 0.000 0.500
Hg: 0.500 0.500 0.000
Hg: 0.500 0.500 0.500
I: 0.179 0.223 0.449
I: 0.223 0.179 0.949
I: 0.223 0.774 0.544
I: 0.226 0.777 0.956
I: 0.774 0.223 0.044
I: 0.777 0.226 0.456
I: 0.777 0.821 0.051
I: 0.821 0.777 0.551

DFT (PBE) results for Ti2Hg2I after structural relaxation.

abc: 7.175 7.175 4.294
angles: 90.00 90.00 90.00
Element x y z (fractional)
Ti: 0.139 0.361 0.000
Ti: 0.361 0.861 0.000
Ti: 0.639 0.139 0.000
Ti: 0.861 0.639 0.000
Hg: 0.154 0.654 0.500
Hg: 0.346 0.154 0.500
Hg: 0.654 0.846 0.500
Hg: 0.846 0.346 0.500
I: 0.000 0.000 0.000
I: 0.500 0.500 0.000

DFT (PBE) results for Ti4HgI8 after structural relaxation.

abc: 11.240 11.240 15.532
angles: 129.15 129.15 18.73
Element x y z (fractional)
Ti: 0.000 0.000 0.000
Ti: 0.107 0.107 0.603
Ti: 0.504 0.504 0.412
Ti: 0.611 0.611 0.016
Hg: 0.806 0.806 0.509
I: 0.104 0.104 0.422
I: 0.157 0.157 0.186
I: 0.162 0.162 0.939
I: 0.449 0.449 0.077
I: 0.454 0.454 0.831
I: 0.507 0.507 0.592
I: 0.730 0.730 0.735
I: 0.881 0.881 0.280

DFT (PBE) results for Ti2HgI6 after structural relaxation.

abc: 7.117 7.117 9.744
angles: 90.00 90.00 120.00
Element x y z (fractional)
Ti: 0.333 0.667 0.000
Ti: 0.667 0.333 0.000
Hg: 0.000 0.000 0.500
I: 0.000 0.358 0.833
I: 0.000 0.642 0.167
I: 0.358 0.000 0.833
I: 0.358 0.358 0.167
I: 0.642 0.000 0.167
I: 0.642 0.642 0.833

DFT (PBE) results for TiTl2HgI6 after structural relaxation.

abc: 8.426 8.432 8.951
angles: 62.16 62.08 60.37
Element x y z (fractional)
Ti: 0.000 0.000 0.000
Tl: 0.338 0.339 0.988
Tl: 0.810 0.813 0.564
Hg: 0.504 0.503 0.490
I: 0.072 0.803 0.786
I: 0.192 0.658 0.215
I: 0.339 0.072 0.786
I: 0.656 0.936 0.213
I: 0.806 0.337 0.785
I: 0.937 0.193 0.215

DFT (PBE) results for TiTlHgI6 after structural relaxation.

abc: 7.720 7.925 8.335
angles: 61.76 79.50 67.22
Element x y z (fractional)
Ti: 0.000 0.000 0.000
Tl: 0.002 0.332 0.337
Hg: 0.500 0.497 0.007
I: 0.214 0.212 0.998
I: 0.234 0.903 0.738
I: 0.236 0.649 0.273
I: 0.765 0.080 0.273
I: 0.765 0.357 0.737
I: 0.786 0.790 0.999

DFT (PBE) results for TlHgI after structural relaxation.

abc: 5.083 5.083 5.529
angles: 90.00 90.00 120.00
Element x y z (fractional)
Tl: 0.000 0.000 0.000
Hg: 0.333 0.667 0.297
I: 0.667 0.333 0.691

## Properties
Energy relative to the lowest polymorph listed for this composition = 11 kJ/mol of formula units

DFT (PBE) results for TlHgI after structural relaxation.

abc: 5.700 5.700 5.700
angles: 60.00 60.00 60.00
Element x y z (fractional)
Tl: 0.000 0.000 0.000
Hg: 0.750 0.750 0.750
I: 0.250 0.250 0.250

## Properties
Energy relative to the lowest polymorph listed for this composition = 12 kJ/mol of formula units

DFT (PBE) results for TlHg2I2 after structural relaxation.

abc: 9.590 9.590 4.523
angles: 90.00 90.00 90.00
Element x y z (fractional)
Tl: 0.000 0.000 0.000
Tl: 0.500 0.500 0.000
Hg: 0.106 0.394 0.500
Hg: 0.394 0.894 0.500
Hg: 0.606 0.106 0.500
Hg: 0.894 0.606 0.500
I: 0.214 0.714 0.000
I: 0.286 0.214 0.000
I: 0.714 0.786 0.000
I: 0.786 0.286 0.000

## Properties
Energy relative to the lowest polymorph listed for this composition = 38 kJ/mol of formula units

DFT (PBE) results for TlHg2I5 after structural relaxation.

abc: 11.579 11.579 12.922
angles: 90.00 90.00 144.43
Element x y z (fractional)
Tl: 0.174 0.826 0.750
Tl: 0.826 0.174 0.250
Hg: 0.200 0.800 0.060
Hg: 0.200 0.800 0.440
Hg: 0.800 0.200 0.560
Hg: 0.800 0.200 0.940
I: 0.085 0.915 0.511
I: 0.085 0.915 0.989
I: 0.269 0.731 0.250
I: 0.299 0.701 0.581
I: 0.299 0.701 0.919
I: 0.701 0.299 0.081
I: 0.701 0.299 0.419
I: 0.731 0.269 0.750
I: 0.915 0.085 0.011
I: 0.915 0.085 0.489

DFT (PBE) results for Tl2Hg2I after structural relaxation.

abc: 6.701 6.701 6.701
angles: 127.36 127.36 77.67
Element x y z (fractional)
Tl: 0.250 0.750 0.500
Tl: 0.750 0.250 0.500
Hg: 0.146 0.146 0.000
Hg: 0.854 0.854 0.000
I: 0.500 0.500 0.000

## Properties
Energy relative to the lowest polymorph listed for this composition = 26 kJ/mol of formula units

DFT (PBE) results for TlHg2I2 after structural relaxation.

abc: 6.538 6.538 6.538
angles: 122.25 122.25 86.14
Element x y z (fractional)
Tl: 0.000 0.000 0.000
Hg: 0.354 0.354 0.000
Hg: 0.646 0.646 0.000
I: 0.250 0.750 0.500
I: 0.750 0.250 0.500

## Properties
Energy relative to the lowest polymorph listed for this composition = 0 kJ/mol of formula units

DFT (PBE) results for TlHgI3 after structural relaxation.

abc: 5.980 5.980 5.980
angles: 90.00 90.00 90.00
Element x y z (fractional)
Tl: 0.000 0.000 0.000
Hg: 0.500 0.500 0.500
I: 0.000 0.500 0.500
I: 0.500 0.000 0.500
I: 0.500 0.500 0.000

## Properties
Energy relative to the lowest polymorph listed for this composition = 64 kJ/mol of formula units

DFT (PBE) results for Tl4HgI5 after structural relaxation.

abc: 8.592 8.592 8.592
angles: 99.33 99.33 132.52
Element x y z (fractional)
Tl: 0.095 0.303 0.398
Tl: 0.303 0.905 0.208
Tl: 0.697 0.095 0.792
Tl: 0.905 0.697 0.602
Hg: 0.504 0.504 0.000
I: 0.003 0.003 0.000
I: 0.209 0.601 0.810
I: 0.399 0.209 0.608
I: 0.601 0.791 0.392
I: 0.791 0.399 0.190

DFT (PBE) results for TlHg3I3 after structural relaxation.

abc: 9.125 9.125 9.125
angles: 90.00 90.00 90.00
Element x y z (fractional)
Tl: 0.000 0.000 0.000
Tl: 0.500 0.500 0.500
Hg: 0.000 0.250 0.500
Hg: 0.000 0.750 0.500
Hg: 0.250 0.500 0.000
Hg: 0.500 0.000 0.250
Hg: 0.500 0.000 0.750
Hg: 0.750 0.500 0.000
I: 0.000 0.500 0.250
I: 0.000 0.500 0.750
I: 0.250 0.000 0.500
I: 0.500 0.250 0.000
I: 0.500 0.750 0.000
I: 0.750 0.000 0.500

DFT (PBE) results for TlHg2I6 after structural relaxation.

abc: 11.673 11.673 7.482
angles: 106.73 106.73 87.84
Element x y z (fractional)
Tl: 0.224 0.776 0.750
Tl: 0.776 0.224 0.250
Hg: 0.192 0.347 0.640
Hg: 0.347 0.192 0.140
Hg: 0.653 0.808 0.860
Hg: 0.808 0.653 0.360
I: 0.014 0.786 0.385
I: 0.208 0.572 0.932
I: 0.209 0.389 0.295
I: 0.214 0.986 0.115
I: 0.389 0.209 0.795
I: 0.428 0.792 0.568
I: 0.572 0.208 0.432
I: 0.611 0.791 0.205
I: 0.786 0.014 0.885
I: 0.791 0.611 0.705
I: 0.792 0.428 0.068
I: 0.986 0.214 0.615

## Properties
Energy relative to the lowest polymorph listed for this composition = 5 kJ/mol of formula units

DFT (PBE) results for Tl6HgI8 after structural relaxation.

abc: 10.480 10.480 6.833
angles: 90.00 90.00 120.00
Element x y z (fractional)
Tl: 0.000 0.376 0.218
Tl: 0.000 0.624 0.782
Tl: 0.376 0.000 0.218
Tl: 0.376 0.376 0.782
Tl: 0.624 0.000 0.782
Tl: 0.624 0.624 0.218
Hg: 0.000 0.000 0.000
I: 0.000 0.249 0.754
I: 0.000 0.751 0.246
I: 0.249 0.000 0.754
I: 0.249 0.249 0.246
I: 0.333 0.667 0.000
I: 0.667 0.333 0.000
I: 0.751 0.000 0.246
I: 0.751 0.751 0.754

DFT (PBE) results for TlHg2I4 after structural relaxation.

abc: 9.514 9.514 9.514
angles: 119.52 119.22 91.10
Element x y z (fractional)
Tl: 0.500 0.000 0.000
Tl: 0.500 0.500 0.500
Hg: 0.000 0.000 0.000
Hg: 0.130 0.380 0.750
Hg: 0.500 0.000 0.500
Hg: 0.870 0.620 0.250
I: 0.222 0.239 0.984
I: 0.236 0.226 0.489
I: 0.236 0.747 0.011
I: 0.245 0.761 0.484
I: 0.755 0.239 0.516
I: 0.764 0.253 0.989
I: 0.764 0.774 0.511
I: 0.778 0.761 0.016

## Properties
Energy relative to the lowest polymorph listed for this composition = 38 kJ/mol of formula units

| no. | formation energy without anion corrections (eV/atom) |
| --- | --- |
| 1 | 0.31 |
| 2 | -0.60 |
| 3 | -0.46 |
| 4 | -0.66 |
| 5 | -0.49 |
| 6 | 0.11 |
| 7 | -0.61 |
| 8 | -0.65 |
| 9 | -0.59 |
| 10 | -0.54 |
| 11 | -0.38 |
| 12 | -0.37 |
| 13 | -0.15 |
| 14 | -0.34 |
| 15 | -0.13 |
| 16 | -0.23 |
| 17 | -0.30 |
| 18 | -0.52 |
| 19 | 0.09 |
| 20 | -0.28 |
| 21 | -0.53 |
| 22 | -0.29 |